## Cr3Hg5 (PBE-GGA)

Data for an optimized crystal structure of Cr3Hg5.

It has space group P6_3/mcm (No. 193), with a = 8.3156 Å, b = 8.3156 Å, c = 5.6928 Å, α = 90.00°, β = 90.00° and γ = 120.00°. The distinct sites, in fractional coordinates, are Cr at (0.0000, 0.3941, 0.2500), Hg at (0.0000, 0.2383, 0.7500) and Hg at (0.3333, 0.6667, 0.0000).

=====

## Cr3Hg (PBE-GGA)

Data for an optimized crystal structure of Cr3Hg.

It has space group I4/mmm (No. 139), with a = 4.441 Å, b = 4.441 Å, c = 12.926 Å, α = 90.00°, β = 90.00° and γ = 90.00°. The distinct sites, in fractional coordinates, are Cr at (0.000, 0.000, 0.123), Cr at (0.000, 0.500, 0.000), Cr at (0.000, 0.500, 0.250) and Hg at (0.000, 0.000, 0.372).

=====

## CrHg (PBE-GGA)

Data for an optimized crystal structure of CrHg.

It has space group R-3m (No. 166, hexagonal axes), with a = 3.1467 Å, b = 3.1467 Å, c = 28.3944 Å, α = 90.00°, β = 90.00° and γ = 120.00°. The distinct sites, in fractional coordinates, are Cr at (0.0000, 0.0000, 0.1264) and Hg at (0.0000, 0.0000, 0.3803).

=====

## CrHg (PBE-GGA)

Data for an optimized crystal structure of CrHg.

It has space group P-3m1 (No. 164), with a = 2.9870 Å, b = 2.9870 Å, c = 8.9769 Å, α = 90.00°, β = 90.00° and γ = 120.00°. The distinct sites, in fractional coordinates, are Cr at (0.3333, 0.6667, 0.4190) and Hg at (0.3333, 0.6667, 0.8460).

=====

## CrHg (PBE-GGA)

Data for an optimized crystal structure of CrHg.

It has space group Pnma (No. 62), with a = 8.157 Å, b = 4.473 Å, c = 8.352 Å, α = 90.00°, β = 90.00° and γ = 90.00°. The distinct sites, in fractional coordinates, are Cr at (0.091, 0.250, 0.063), Cr at (0.202, 0.750, 0.946), Hg at (0.064, 0.750, 0.627) and Hg at (0.186, 0.750, 0.272).

=====

## Cr3Hg (PBE-GGA)

Data for an optimized crystal structure of Cr3Hg.

It has space group I4/mmm (No. 139), with a = 4.479 Å, b = 4.479 Å, c = 6.327 Å, α = 90.00°, β = 90.00° and γ = 90.00°. The distinct sites, in fractional coordinates, are Cr at (0.000, 0.000, 0.000), Cr at (0.000, 0.500, 0.250) and Hg at (0.000, 0.000, 0.500).

=====

## Cr2Hg (PBE-GGA)

Data for an optimized crystal structure of Cr2Hg.

Its polymorph energy (0 for the lowest one) is 0.167 eV per atom.

It has space group Cm (No. 8), with a = 10.751 Å, b = 3.048 Å, c = 6.317 Å, α = 90.00°, β = 101.81° and γ = 90.00°. The distinct sites, in fractional coordinates, are Cr at (0.000, 0.000, 0.000), Cr at (0.075, 0.000, 0.664), Cr at (0.210, 0.500, 0.486), Cr at (0.355, 0.000, 0.750), Hg at (0.221, 0.500, 0.022) and Hg at (0.426, 0.000, 0.338).

=====

## CrHg (PBE-GGA)

Data for an optimized crystal structure of CrHg.

It has space group Pmmn (No. 59, origin choice 2), with a = 3.010 Å, b = 15.195 Å, c = 4.845 Å, α = 90.00°, β = 90.00° and γ = 90.00°. The distinct sites, in fractional coordinates, are Cr at (0.250, 0.051, 0.016), Cr at (0.250, 0.750, 0.738), Hg at (0.250, 0.250, 0.786) and Hg at (0.250, 0.587, 0.485).

=====

## CrHg (PBE-GGA)

Data for an optimized crystal structure of CrHg.

It has space group P6_3/mmc (No. 194), with a = 4.7969 Å, b = 4.7969 Å, c = 5.5672 Å, α = 90.00°, β = 90.00° and γ = 120.00°. The distinct sites, in fractional coordinates, are Cr at (0.3333, 0.6667, 0.2500) and Hg at (0.3333, 0.6667, 0.7500).

=====

## Cr2Hg (PBE-GGA)

Data for an optimized crystal structure of Cr2Hg.

Its polymorph energy (0 for the lowest one) is 0.089 eV per atom.

It has space group Pnma (No. 62), with a = 5.892 Å, b = 3.820 Å, c = 8.879 Å, α = 90.00°, β = 90.00° and γ = 90.00°. The distinct sites, in fractional coordinates, are Cr at (0.107, 0.250, 0.241), Cr at (0.131, 0.250, 0.893) and Hg at (0.148, 0.250, 0.580).

=====

## CrHg (PBE-GGA)

Data for an optimized crystal structure of CrHg.

It has space group I-43m (No. 217), with a = 8.120 Å, b = 8.120 Å, c = 8.120 Å, α = 90.00°, β = 90.00° and γ = 90.00°. The distinct sites, in fractional coordinates, are Cr at (0.095, 0.095, 0.095) and Hg at (0.214, 0.214, 0.786).

=====

## Cr2Hg (PBE-GGA)

Data for an optimized crystal structure of Cr2Hg.

Its polymorph energy (0 for the lowest one) is 0.493 eV per atom.

It has space group P-62m (No. 189), with a = 7.9330 Å, b = 7.9330 Å, c = 3.0948 Å, α = 90.00°, β = 90.00° and γ = 120.00°. The distinct sites, in fractional coordinates, are Cr at (0.0000, 0.2949, 0.0000), Cr at (0.0000, 0.6295, 0.5000), Hg at (0.0000, 0.0000, 0.5000) and Hg at (0.3333, 0.6667, 0.0000).

=====

## Cr2Hg (PBE-GGA)

Data for an optimized crystal structure of Cr2Hg.

Its polymorph energy (0 for the lowest one) is 0.531 eV per atom.

It has space group I4_1/amd (No. 141, origin choice 2), with a = 3.624 Å, b = 3.624 Å, c = 14.432 Å, α = 90.00°, β = 90.00° and γ = 90.00°. The distinct sites, in fractional coordinates, are Cr at (0.000, 0.250, 0.292) and Hg at (0.000, 0.250, 0.875).

=====

## CrHg (PBE-GGA)

Data for an optimized crystal structure of CrHg.

It has space group P6_3/mmc (No. 194), with a = 3.2456 Å, b = 3.2456 Å, c = 8.7349 Å, α = 90.00°, β = 90.00° and γ = 120.00°. The distinct sites, in fractional coordinates, are Cr at (0.3333, 0.6667, 0.2500) and Hg at (0.0000, 0.0000, 0.0000).

=====

## CrHg (PBE-GGA)

Data for an optimized crystal structure of CrHg.

It has space group Cmcm (No. 63), with a = 4.727 Å, b = 10.412 Å, c = 2.915 Å, α = 90.00°, β = 90.00° and γ = 90.00°. The distinct sites, in fractional coordinates, are Cr at (0.000, 0.074, 0.250) and Hg at (0.000, 0.360, 0.250).

=====

## CrHg (PBE-GGA)

Data for an optimized crystal structure of CrHg.

It has space group Fd-3m (No. 227, origin choice 2), with a = 6.722 Å, b = 6.722 Å, c = 6.722 Å, α = 90.00°, β = 90.00° and γ = 90.00°. The distinct sites, in fractional coordinates, are Cr at (0.125, 0.125, 0.125) and Hg at (0.125, 0.125, 0.625).

=====

## Cr3Hg (PBE-GGA)

Data for an optimized crystal structure of Cr3Hg.

It has space group Pmm2 (No. 25), with a = 2.873 Å, b = 4.256 Å, c = 4.825 Å, α = 90.00°, β = 90.00° and γ = 90.00°. The distinct sites, in fractional coordinates, are Cr at (0.000, 0.000, 0.000), Cr at (0.000, 0.500, 0.253), Cr at (0.500, 0.000, 0.350) and Hg at (0.500, 0.500, 0.742).

=====

## CrHg (PBE-GGA)

Data for an optimized crystal structure of CrHg.

It has space group Pmmn (No. 59, origin choice 2), with a = 3.274 Å, b = 5.049 Å, c = 4.774 Å, α = 90.00°, β = 90.00° and γ = 90.00°. The distinct sites, in fractional coordinates, are Cr at (0.250, 0.250, 0.105) and Hg at (0.250, 0.750, 0.380).

=====

## CrHg (PBE-GGA)

Data for an optimized crystal structure of CrHg.

It has space group I4_1/amd (No. 141, origin choice 2), with a = 4.144 Å, b = 4.144 Å, c = 9.094 Å, α = 90.00°, β = 90.00° and γ = 90.00°. The distinct sites, in fractional coordinates, are Cr at (0.000, 0.250, 0.375) and Hg at (0.000, 0.250, 0.875).

=====

## CrHg (PBE-GGA)

Data for an optimized crystal structure of CrHg.

It has space group P6_3/mmc (No. 194), with a = 8.3841 Å, b = 8.3841 Å, c = 3.5476 Å, α = 90.00°, β = 90.00° and γ = 120.00°. The distinct sites, in fractional coordinates, are Cr at (0.0996, 0.5498, 0.2500) and Hg at (0.1705, 0.3411, 0.7500).

=====

| no. | density (Mg/m³) | VASP energy (eV per formula unit) | formation energy from the elements (eV/atom) |
| --- | --- | --- | --- |
| 1 | 11.3 | -26.48 | 0.488 |
| 2 | 9.3 | -27.18 | 0.498 |
| 3 | 10.3 | -8.39 | 0.766 |
| 4 | 12.1 | -9.04 | 0.445 |
| 5 | 11.0 | -9.06 | 0.433 |
| 6 | 9.3 | -27.20 | 0.493 |
| 7 | 10.0 | -17.90 | 0.551 |
| 8 | 11.4 | -8.63 | 0.649 |
| 9 | 7.6 | -7.98 | 0.974 |
| 10 | 10.1 | -18.13 | 0.472 |
| 11 | 6.3 | -7.73 | 1.099 |
| 12 | 9.0 | -16.92 | 0.877 |
| 13 | 10.7 | -16.81 | 0.914 |
| 14 | 10.5 | -8.65 | 0.639 |
| 15 | 11.7 | -8.70 | 0.615 |
| 16 | 11.0 | -8.63 | 0.649 |
| 17 | 10.0 | -26.68 | 0.623 |
| 18 | 10.6 | -8.68 | 0.623 |
| 19 | 10.7 | -8.69 | 0.616 |
| 20 | 11.7 | -8.67 | 0.629 |